[1]
# PBE MnZnRh2, relaxed
# E_form, eV per atom: -0.1652
data_MnZnRh2
_chemical_formula_sum 'Mn1 Zn1 Rh2'
_cell_length_a 2.7976
_cell_length_b 3.8105
_cell_length_c 5.2486
_cell_angle_alpha 90.00
_cell_angle_beta 90.32
_cell_angle_gamma 90.00
_space_group_name_H-M_alt 'P 1 m 1'
_space_group_IT_number 6
_space_group_name_Hall 'P -2y'
loop_
_atom_site_label
_atom_site_type_symbol
_atom_site_fract_x
_atom_site_fract_y
_atom_site_fract_z
_atom_site_occupancy
Mn1 Mn 0.0000 0.0000 0.0000 1
Zn1 Zn 0.5019 0.5000 0.7286 1
Rh1 Rh 0.0024 0.0000 0.5040 1
Rh2 Rh 0.5005 0.5000 0.2218 1

[2]
# PBE V7Ge2P2, relaxed
# E_form, eV per atom: -0.2240
data_V7Ge2P2
_chemical_formula_sum 'V14 Ge4 P4'
_cell_length_a 8.6922
_cell_length_b 7.2356
_cell_length_c 5.2130
_cell_angle_alpha 90.00
_cell_angle_beta 102.03
_cell_angle_gamma 90.00
_space_group_name_H-M_alt 'C 1 2/m 1'
_space_group_IT_number 12
_space_group_name_Hall '-C 2y'
loop_
_atom_site_label
_atom_site_type_symbol
_atom_site_fract_x
_atom_site_fract_y
_atom_site_fract_z
_atom_site_occupancy
V1 V 0.0000 0.0000 0.0000 1
V2 V 0.0153 0.5000 0.2773 1
V3 V 0.2395 0.2061 0.2694 1
Ge1 Ge 0.0000 0.1806 0.5000 1
P1 P 0.2266 0.5000 0.0666 1

[3]
# PBE Nd2SmHo5Tm, relaxed
# E_form, eV per atom: 0.2729
data_Nd2SmHo5Tm
_chemical_formula_sum 'Nd8 Sm4 Ho20 Tm4'
_cell_length_a 8.6670
_cell_length_b 8.6670
_cell_length_c 15.5491
_cell_angle_alpha 90.00
_cell_angle_beta 90.00
_cell_angle_gamma 90.00
_space_group_name_H-M_alt 'I 4/m c m'
_space_group_IT_number 140
_space_group_name_Hall '-I 4 2c'
loop_
_atom_site_label
_atom_site_type_symbol
_atom_site_fract_x
_atom_site_fract_y
_atom_site_fract_z
_atom_site_occupancy
Nd1 Nd 0.1173 0.3827 0.0000 1
Sm1 Sm 0.0000 0.0000 0.2500 1
Ho1 Ho 0.0000 0.0000 0.0000 1
Ho2 Ho 0.2116 0.2884 0.3607 1
Tm1 Tm 0.0000 0.5000 0.2500 1

[4]
# PBE TmAl2Br8, relaxed
# E_form (uncorrected), eV/f.u.: -13.141
data_TmAl2Br8
_chemical_formula_sum 'Tm2 Al4 Br16'
_cell_length_a 13.3755
_cell_length_b 10.0196
_cell_length_c 6.7657
_cell_angle_alpha 90.00
_cell_angle_beta 98.34
_cell_angle_gamma 90.00
_space_group_name_H-M_alt 'C 1 2/m 1'
_space_group_IT_number 12
_space_group_name_Hall '-C 2y'
loop_
_atom_site_label
_atom_site_type_symbol
_atom_site_fract_x
_atom_site_fract_y
_atom_site_fract_z
_atom_site_occupancy
Tm1 Tm 0.0000 0.0000 0.0000 1
Al1 Al 0.1912 0.0000 0.6465 1
Br1 Br 0.0966 0.1790 0.7701 1
Br2 Br 0.1408 0.5000 0.2270 1
Br3 Br 0.1787 0.0000 0.2821 1

[5]
# PBE ZrCoTc2C, relaxed
# E_form, eV per atom: -0.2325
# Offset from the most stable computed form, meV/atom: 0
data_ZrCoTc2C
_chemical_formula_sum 'Zr1 Co1 Tc2 C1'
_cell_length_a 4.1697
_cell_length_b 4.1697
_cell_length_c 3.8238
_cell_angle_alpha 90.00
_cell_angle_beta 90.00
_cell_angle_gamma 90.00
_space_group_name_H-M_alt 'P 4/m m m'
_space_group_IT_number 123
_space_group_name_Hall '-P 4 2'
loop_
_atom_site_label
_atom_site_type_symbol
_atom_site_fract_x
_atom_site_fract_y
_atom_site_fract_z
_atom_site_occupancy
Zr1 Zr 0.0000 0.0000 0.0000 1
Co1 Co 0.5000 0.5000 0.0000 1
Tc1 Tc 0.0000 0.5000 0.5000 1
C1 C 0.5000 0.5000 0.5000 1

[6]
# PBE Tb3Dy2Er6Pb, relaxed
# E_form, eV per atom: -0.0513
data_Tb3Dy2Er6Pb
_chemical_formula_sum 'Tb6 Dy4 Er12 Pb2'
_cell_length_a 6.0639
_cell_length_b 10.5074
_cell_length_c 11.6105
_cell_angle_alpha 90.00
_cell_angle_beta 100.12
_cell_angle_gamma 90.00
_space_group_name_H-M_alt 'C 1 2/m 1'
_space_group_IT_number 12
_space_group_name_Hall '-C 2y'
loop_
_atom_site_label
_atom_site_type_symbol
_atom_site_fract_x
_atom_site_fract_y
_atom_site_fract_z
_atom_site_occupancy
Tb1 Tb 0.0000 0.0000 0.0000 1
Tb2 Tb 0.0000 0.3328 0.0000 1
Dy1 Dy 0.0000 0.1660 0.5000 1
Er1 Er 0.2460 0.3355 0.7475 1
Er2 Er 0.2474 0.5000 0.2509 1
Pb1 Pb 0.0000 0.5000 0.5000 1

[7]
# PBE LiEr2Mn, relaxed
# E_form, eV per atom: 0.0966
# Offset from the most stable computed form, meV/atom: 0
data_LiEr2Mn
_chemical_formula_sum 'Li1 Er2 Mn1'
_cell_length_a 3.4149
_cell_length_b 3.4149
_cell_length_c 7.9626
_cell_angle_alpha 90.00
_cell_angle_beta 90.00
_cell_angle_gamma 90.00
_space_group_name_H-M_alt 'P 4/m m m'
_space_group_IT_number 123
_space_group_name_Hall '-P 4 2'
loop_
_atom_site_label
_atom_site_type_symbol
_atom_site_fract_x
_atom_site_fract_y
_atom_site_fract_z
_atom_site_occupancy
Li1 Li 0.0000 0.0000 0.0000 1
Er1 Er 0.5000 0.5000 0.2866 1
Mn1 Mn 0.0000 0.0000 0.5000 1

[8]
# PBE CsGeSb3, relaxed
# Offset from the most stable computed form, meV/atom: 0
# E_form (uncorrected), eV/f.u.: 1.324
data_CsGeSb3
_chemical_formula_sum 'Cs1 Ge1 Sb3'
_cell_length_a 5.6008
_cell_length_b 5.6008
_cell_length_c 5.6008
_cell_angle_alpha 90.00
_cell_angle_beta 90.00
_cell_angle_gamma 90.00
_space_group_name_H-M_alt 'P m -3 m'
_space_group_IT_number 221
_space_group_name_Hall '-P 4 2 3'
loop_
_atom_site_label
_atom_site_type_symbol
_atom_site_fract_x
_atom_site_fract_y
_atom_site_fract_z
_atom_site_occupancy
Cs1 Cs 0.0000 0.0000 0.0000 1
Ge1 Ge 0.5000 0.5000 0.5000 1
Sb1 Sb 0.0000 0.5000 0.5000 1

[9]
# PBE AlCuTe4Au2, relaxed
# E_form (uncorrected), eV/f.u.: -1.361
data_AlCuTe4Au2
_chemical_formula_sum 'Al4 Cu4 Te16 Au8'
_cell_length_a 8.5852
_cell_length_b 8.5859
_cell_length_c 12.7956
_cell_angle_alpha 90.00
_cell_angle_beta 90.00
_cell_angle_gamma 90.00
_space_group_name_H-M_alt 'F m m 2'
_space_group_IT_number 42
_space_group_name_Hall 'F 2 -2'
loop_
_atom_site_label
_atom_site_type_symbol
_atom_site_fract_x
_atom_site_fract_y
_atom_site_fract_z
_atom_site_occupancy
Al1 Al 0.0000 0.0000 0.0000 1
Cu1 Cu 0.0000 0.0000 0.5005 1
Te1 Te 0.0000 0.2434 0.6177 1
Te2 Te 0.2430 0.0000 0.3827 1
Au1 Au 0.2500 0.2500 0.2502 1

[10]
# PBE CsTl2ZnPb, relaxed
# E_form, eV per atom: 0.1185
data_CsTl2ZnPb
_chemical_formula_sum 'Cs1 Tl2 Zn1 Pb1'
_cell_length_a 5.6985
_cell_length_b 5.6985
_cell_length_c 5.6817
_cell_angle_alpha 90.00
_cell_angle_beta 90.00
_cell_angle_gamma 90.00
_space_group_name_H-M_alt 'P 4/m m m'
_space_group_IT_number 123
_space_group_name_Hall '-P 4 2'
loop_
_atom_site_label
_atom_site_type_symbol
_atom_site_fract_x
_atom_site_fract_y
_atom_site_fract_z
_atom_site_occupancy
Cs1 Cs 0.0000 0.0000 0.0000 1
Tl1 Tl 0.0000 0.5000 0.5000 1
Zn1 Zn 0.5000 0.5000 0.5000 1
Pb1 Pb 0.5000 0.5000 0.0000 1

[11]
# PBE Hf2Ga2Pd, relaxed
# E_form, eV per atom: -0.6374
# Offset from the most stable computed form, meV/atom: 0
data_Hf2Ga2Pd
_chemical_formula_sum 'Hf4 Ga4 Pd2'
_cell_length_a 6.5540
_cell_length_b 6.5540
_cell_length_c 4.1468
_cell_angle_alpha 90.00
_cell_angle_beta 90.00
_cell_angle_gamma 90.00
_space_group_name_H-M_alt 'P 4/m b m'
_space_group_IT_number 127
_space_group_name_Hall '-P 4 2ab'
loop_
_atom_site_label
_atom_site_type_symbol
_atom_site_fract_x
_atom_site_fract_y
_atom_site_fract_z
_atom_site_occupancy
Hf1 Hf 0.1694 0.3306 0.0000 1
Ga1 Ga 0.1366 0.6366 0.5000 1
Pd1 Pd 0.0000 0.0000 0.5000 1

[12]
# PBE BaNa2Re2O7, relaxed
# E_form (uncorrected), eV/f.u.: -21.278
data_BaNa2Re2O7
_chemical_formula_sum 'Ba2 Na4 Re4 O14'
_cell_length_a 3.9973
_cell_length_b 3.9973
_cell_length_c 19.8572
_cell_angle_alpha 90.00
_cell_angle_beta 90.00
_cell_angle_gamma 90.00
_space_group_name_H-M_alt 'I 4/m m m'
_space_group_IT_number 139
_space_group_name_Hall '-I 4 2'
loop_
_atom_site_label
_atom_site_type_symbol
_atom_site_fract_x
_atom_site_fract_y
_atom_site_fract_z
_atom_site_occupancy
Ba1 Ba 0.0000 0.0000 0.0000 1
Na1 Na 0.0000 0.5000 0.2500 1
Re1 Re 0.0000 0.0000 0.3960 1
O1 O 0.0000 0.0000 0.3009 1
O2 O 0.0000 0.0000 0.5000 1
O3 O 0.0000 0.5000 0.1009 1

[13]
# PBE RbCd2Br2, relaxed
# Offset from the most stable computed form, meV/atom: 72
# E_form (uncorrected), eV/f.u.: -3.495
data_RbCd2Br2
_chemical_formula_sum 'Rb2 Cd4 Br4'
_cell_length_a 5.8824
_cell_length_b 5.8824
_cell_length_c 10.3346
_cell_angle_alpha 90.00
_cell_angle_beta 90.00
_cell_angle_gamma 90.00
_space_group_name_H-M_alt 'I 4/m m m'
_space_group_IT_number 139
_space_group_name_Hall '-I 4 2'
loop_
_atom_site_label
_atom_site_type_symbol
_atom_site_fract_x
_atom_site_fract_y
_atom_site_fract_z
_atom_site_occupancy
Rb1 Rb 0.0000 0.0000 0.0000 1
Cd1 Cd 0.0000 0.0000 0.3631 1
Br1 Br 0.0000 0.5000 0.2500 1

[14]
# PBE CuRh2Cl, relaxed
# Offset from the most stable computed form, meV/atom: 0
# E_form (uncorrected), eV/f.u.: 0.723
data_CuRh2Cl
_chemical_formula_sum 'Cu1 Rh2 Cl1'
_cell_length_a 2.8799
_cell_length_b 2.9084
_cell_length_c 7.3860
_cell_angle_alpha 90.00
_cell_angle_beta 90.00
_cell_angle_gamma 90.00
_space_group_name_H-M_alt 'P m m 2'
_space_group_IT_number 25
_space_group_name_Hall 'P 2 -2'
loop_
_atom_site_label
_atom_site_type_symbol
_atom_site_fract_x
_atom_site_fract_y
_atom_site_fract_z
_atom_site_occupancy
Cu1 Cu 0.0000 0.0000 0.0000 1
Rh1 Rh 0.0000 0.0000 0.5449 1
Rh2 Rh 0.5000 0.5000 0.7711 1
Cl1 Cl 0.0000 0.5000 0.2675 1

[15]
# PBE NiGeHIr2, relaxed
# Offset from the most stable computed form, meV/atom: 0
data_NiGeHIr2
_chemical_formula_sum 'Ni1 Ge1 H1 Ir2'
_cell_length_a 3.9749
_cell_length_b 3.9749
_cell_length_c 3.6235
_cell_angle_alpha 90.00
_cell_angle_beta 90.00
_cell_angle_gamma 90.00
_space_group_name_H-M_alt 'P 4/m m m'
_space_group_IT_number 123
_space_group_name_Hall '-P 4 2'
loop_
_atom_site_label
_atom_site_type_symbol
_atom_site_fract_x
_atom_site_fract_y
_atom_site_fract_z
_atom_site_occupancy
Ni1 Ni 0.0000 0.0000 0.0000 1
Ge1 Ge 0.5000 0.5000 0.0000 1
H1 H 0.0000 0.0000 0.5000 1
Ir1 Ir 0.0000 0.5000 0.5000 1

[16]
# PBE SnHgRuBr2, relaxed
# E_form (uncorrected), eV/f.u.: 0.697
data_SnHgRuBr2
_chemical_formula_sum 'Sn1 Hg1 Ru1 Br2'
_cell_length_a 5.1872
_cell_length_b 5.1872
_cell_length_c 5.2091
_cell_angle_alpha 90.00
_cell_angle_beta 90.00
_cell_angle_gamma 90.00
_space_group_name_H-M_alt 'P 4/m m m'
_space_group_IT_number 123
_space_group_name_Hall '-P 4 2'
loop_
_atom_site_label
_atom_site_type_symbol
_atom_site_fract_x
_atom_site_fract_y
_atom_site_fract_z
_atom_site_occupancy
Sn1 Sn 0.0000 0.0000 0.0000 1
Hg1 Hg 0.5000 0.5000 0.0000 1
Ru1 Ru 0.0000 0.0000 0.5000 1
Br1 Br 0.0000 0.5000 0.5000 1

[17]
# PBE ZnTcO3, relaxed
# E_form (uncorrected), eV/f.u.: -4.397
data_ZnTcO3
_chemical_formula_sum 'Zn1 Tc1 O3'
_cell_length_a 3.8586
_cell_length_b 3.8586
_cell_length_c 3.8586
_cell_angle_alpha 90.00
_cell_angle_beta 90.00
_cell_angle_gamma 90.00
_space_group_name_H-M_alt 'P m -3 m'
_space_group_IT_number 221
_space_group_name_Hall '-P 4 2 3'
loop_
_atom_site_label
_atom_site_type_symbol
_atom_site_fract_x
_atom_site_fract_y
_atom_site_fract_z
_atom_site_occupancy
Zn1 Zn 0.0000 0.0000 0.0000 1
Tc1 Tc 0.5000 0.5000 0.5000 1
O1 O 0.0000 0.5000 0.5000 1

[18]
# PBE Pr12Cd5Hg2, relaxed
# E_form, eV per atom: -0.1874
data_Pr12Cd5Hg2
_chemical_formula_sum 'Pr24 Cd10 Hg4'
_cell_length_a 13.0579
_cell_length_b 10.8353
_cell_length_c 8.6295
_cell_angle_alpha 90.00
_cell_angle_beta 105.25
_cell_angle_gamma 90.00
_space_group_name_H-M_alt 'C 1 2/m 1'
_space_group_IT_number 12
_space_group_name_Hall '-C 2y'
loop_
_atom_site_label
_atom_site_type_symbol
_atom_site_fract_x
_atom_site_fract_y
_atom_site_fract_z
_atom_site_occupancy
Pr1 Pr 0.1029 0.0000 0.2221 1
Pr2 Pr 0.1063 0.2264 0.8956 1
Pr3 Pr 0.1103 0.5000 0.6573 1
Pr4 Pr 0.1711 0.3222 0.3199 1
Cd1 Cd 0.0000 0.5000 0.0000 1
Cd2 Cd 0.1181 0.0000 0.6158 1
Cd3 Cd 0.2310 0.5000 0.0321 1
Hg1 Hg 0.0000 0.2320 0.5000 1

[19]
# PBE Y2ErTm10, relaxed
# E_form, eV per atom: 0.3076
data_Y2ErTm10
_chemical_formula_sum 'Y8 Er4 Tm40'
_cell_length_a 6.4783
_cell_length_b 15.3317
_cell_length_c 16.9178
_cell_angle_alpha 90.00
_cell_angle_beta 90.00
_cell_angle_gamma 90.00
_space_group_name_H-M_alt 'F m m m'
_space_group_IT_number 69
_space_group_name_Hall '-F 2 2'
loop_
_atom_site_label
_atom_site_type_symbol
_atom_site_fract_x
_atom_site_fract_y
_atom_site_fract_z
_atom_site_occupancy
Y1 Y 0.2500 0.2500 0.0000 1
Er1 Er 0.0000 0.0000 0.0000 1
Tm1 Tm 0.0000 0.1034 0.3970 1
Tm2 Tm 0.0000 0.1804 0.1701 1
Tm3 Tm 0.2500 0.0000 0.2500 1

[20]
# PBE Ac3Zn2Cd, relaxed
# E_form, eV per atom: -0.2599
data_Ac3Zn2Cd
_chemical_formula_sum 'Ac3 Zn2 Cd1'
_cell_length_a 3.9517
_cell_length_b 3.9517
_cell_length_c 11.9875
_cell_angle_alpha 90.00
_cell_angle_beta 90.00
_cell_angle_gamma 90.00
_space_group_name_H-M_alt 'P 4/m m m'
_space_group_IT_number 123
_space_group_name_Hall '-P 4 2'
loop_
_atom_site_label
_atom_site_type_symbol
_atom_site_fract_x
_atom_site_fract_y
_atom_site_fract_z
_atom_site_occupancy
Ac1 Ac 0.0000 0.0000 0.0000 1
Ac2 Ac 0.0000 0.0000 0.3200 1
Zn1 Zn 0.5000 0.5000 0.1609 1
Cd1 Cd 0.5000 0.5000 0.5000 1

[21]
# PBE K4C2O3, relaxed
# E_form (uncorrected), eV/f.u.: -6.622
data_K4C2O3
_chemical_formula_sum 'K4 C2 O3'
_cell_length_a 5.3130
_cell_length_b 5.3983
_cell_length_c 7.1878
_cell_angle_alpha 93.73
_cell_angle_beta 93.89
_cell_angle_gamma 116.77
_space_group_name_H-M_alt 'P 1'
_space_group_IT_number 1
_space_group_name_Hall 'P 1'
loop_
_atom_site_label
_atom_site_type_symbol
_atom_site_fract_x
_atom_site_fract_y
_atom_site_fract_z
_atom_site_occupancy
K1 K 0.0000 0.0000 0.0000 1
K2 K 0.0052 0.0057 0.4866 1
K3 K 0.3420 0.6597 0.2756 1
K4 K 0.6907 0.3713 0.7421 1
C1 C 0.3017 0.6985 0.7259 1
C2 C 0.7023 0.2997 0.2381 1
O1 O 0.4544 0.2046 0.3041 1
O2 O 0.5645 0.8066 0.6859 1
O3 O 0.7902 0.5424 0.1700 1

[22]
# PBE LiCaMo, relaxed
# E_form, eV per atom: 1.2607
# Offset from the most stable computed form, meV/atom: 614
data_LiCaMo
_chemical_formula_sum 'Li4 Ca4 Mo4'
_cell_length_a 6.7857
_cell_length_b 6.7857
_cell_length_c 6.7857
_cell_angle_alpha 90.00
_cell_angle_beta 90.00
_cell_angle_gamma 90.00
_space_group_name_H-M_alt 'F -4 3 m'
_space_group_IT_number 216
_space_group_name_Hall 'F -4 2 3'
loop_
_atom_site_label
_atom_site_type_symbol
_atom_site_fract_x
_atom_site_fract_y
_atom_site_fract_z
_atom_site_occupancy
Li1 Li 0.0000 0.0000 0.0000 1
Ca1 Ca 0.2500 0.2500 0.7500 1
Mo1 Mo 0.2500 0.2500 0.2500 1